16
Lattice="-2.685 -0.551 -5.952 3.114 -6.870 -0.769 -11.933 -6.074 5.945" Properties=species:S:1:pos:R:3 comment="Cs3GaPb4 (PBE, relaxed)" e_form_ev_per_fu=-1.4 de_polymorph_ev_per_atom=0.000 space_group="Pmmn (59)" pbc="T T T"
Pb 0.777 -1.924 -0.407
Cs -9.483 -4.686 3.467
Pb -0.824 -4.374 -1.635
Pb -9.237 -4.158 -0.251
Cs -3.719 -5.445 -3.788
Cs -3.376 -1.578 0.424
Cs -1.457 -0.299 -3.229
Pb 2.162 -4.982 -0.749
Ga -0.248 -3.805 -4.386
Cs -5.638 -6.724 -0.136
Pb -6.271 -2.648 -1.729
Pb -9.790 -8.938 2.832
Pb -6.143 -8.911 -3.384
Cs -9.544 -8.410 -0.886
Pb -7.872 -5.098 -2.957
Ga -6.846 -3.217 1.022

***

10
Lattice="-0.299 3.940 -0.542 -2.803 0.791 7.300 7.269 0.943 2.836" Properties=species:S:1:pos:R:3 comment="Sm3Ho3Pd4 (PBE, relaxed)" e_form_ev_per_fu=-7.0 space_group="Amm2 (38)" pbc="T T T"
Ho 5.430 2.887 3.314
Pd 0.925 0.847 5.648
Ho 3.648 0.473 1.425
Pd 3.609 0.888 4.459
Sm -1.279 2.787 6.288
Sm 2.842 3.127 6.484
Sm 1.350 2.548 3.099
Pd 3.842 1.509 8.848
Ho 5.873 1.337 6.472
Pd 0.530 0.223 1.331

***

6
Lattice="-1.560 4.248 -2.924 0.476 -0.103 -5.366 -4.402 -0.327 -3.089" Properties=species:S:1:pos:R:3 comment="SrTmRh4 (PBE, relaxed)" e_form_ev_per_fu=-3.0 space_group="F-43m (216)" pbc="T T T"
Sr -1.372 0.955 -2.845
Rh -2.649 0.258 -5.650
Rh -1.224 2.552 -5.567
Tm 0.000 0.000 0.000
Rh -3.670 2.439 -4.426
Rh -3.431 2.388 -7.116